Model P:
Density functional theory data (PBE-GGA) for crystalline CuNiH2 at its relaxed geometry.

Output
The size of the total moment comes out at 0.00 μB/cell.

The structure in extended XYZ format:
```
4
Lattice="0.0000 2.4325 2.4325 2.4325 0.0000 2.4325 2.4325 2.4325 0.0000" Properties=species:S:1:pos:R:3 pbc="T T T"
Cu 0.0000 0.0000 0.0000
Ni 2.4325 2.4325 2.4325
H 1.2163 1.2163 1.2163
H 3.6488 3.6488 3.6488
```

***

Model Q:
Density functional theory data (PBE-GGA) for crystalline CuNiH2 at its relaxed geometry.

Output
The size of the total moment comes out at 0.00 μB/cell.

The structure in extended XYZ format:
```
4
Lattice="1.3174 0.7606 4.7339 -1.3174 0.7606 4.7339 0.0000 -1.5212 4.7339" Properties=species:S:1:pos:R:3 pbc="T T T"
Cu 0.0000 0.0000 0.0000
Ni 0.0000 0.0000 2.5063
H 0.0000 0.0000 8.1292
H 0.0000 0.0000 11.0915
```

***

The computed energies, referenced to the most stable structure and given in eV/atom, are model P 0.336; model Q 0.000.

***

Model P:
Density functional theory data (PBE-GGA) for crystalline Cu2NiH2 at its relaxed geometry.

Output
The size of the total moment comes out at 0.00 μB/cell.

The structure in extended XYZ format:
```
5
Lattice="2.2867 -1.3179 0.0000 2.2867 1.3179 0.0000 -1.6344 0.0000 6.5302" Properties=species:S:1:pos:R:3 pbc="T T T"
Cu 0.7473 0.0000 1.0171
Cu 2.1918 0.0000 5.5131
Ni -0.8172 0.0000 3.2651
H 0.7071 0.0000 4.1702
H 2.2320 0.0000 2.3600
```

***

Model Q:
Density functional theory data (PBE-GGA) for crystalline Cu2NiH2 at its relaxed geometry.

Output
The size of the total moment comes out at 0.00 μB/cell.

The structure in extended XYZ format:
```
10
Lattice="4.9217 0.0000 0.0000 0.0000 4.9217 0.0000 0.0000 0.0000 3.5967" Properties=species:S:1:pos:R:3 pbc="T T T"
Cu 0.9809 1.4799 0.0000
Cu 1.4799 3.9407 0.0000
Cu 3.4418 0.9809 0.0000
Cu 3.9407 3.4418 0.0000
Ni 0.0000 0.0000 1.7983
Ni 2.4608 2.4608 1.7983
H 1.1069 1.3539 1.7983
H 1.3539 3.8147 1.7983
H 3.5677 1.1069 1.7983
H 3.8147 3.5677 1.7983
```

***

The computed energies, referenced to the most stable structure and given in eV/atom, are model P 0.000; model Q 0.065.

***

Model P:
Density functional theory data (PBE-GGA) for crystalline Cu2NiH2 at its relaxed geometry.

Output
The size of the total moment comes out at 0.00 μB/cell.

The structure in extended XYZ format:
```
5
Lattice="-1.5861 1.5861 4.0788 1.5861 -1.5861 4.0788 1.5861 1.5861 -4.0788" Properties=species:S:1:pos:R:3 pbc="T T T"
Cu 0.0000 0.0000 1.2649
Cu 0.0000 0.0000 6.8927
Ni 0.0000 0.0000 4.0788
H 1.5861 0.0000 2.0394
H 0.0000 1.5861 2.0394
```

***

Model Q:
Density functional theory data (PBE-GGA) for crystalline Cu2NiH2 at its relaxed geometry.

Output
The size of the total moment comes out at 0.00 μB/cell.

The structure in extended XYZ format:
```
20
Lattice="6.5228 0.0000 0.0000 0.0000 5.0556 0.0000 -0.9843 0.0000 4.9328" Properties=species:S:1:pos:R:3 pbc="T T T"
Cu -0.3150 1.2254 2.3319
Cu -0.8071 1.3024 4.7983
Cu 1.2054 3.0130 4.2061
Cu 1.6976 4.5704 1.7397
Cu 3.8409 0.4852 3.1931
Cu 4.3330 2.0426 0.7267
Cu 6.3456 3.7532 0.1345
Cu 5.8534 3.8302 2.6009
Ni 1.4348 0.5320 4.1050
Ni 1.9270 1.9958 1.6386
Ni 3.6114 3.0598 3.2942
Ni 4.1036 4.5236 0.8278
H 0.6967 3.1096 1.6238
H 0.2045 4.4738 4.0902
H 2.8468 0.7135 0.8261
H 2.3546 1.8143 3.2925
H 3.1838 3.2413 1.6402
H 2.6917 4.3421 4.1066
H 5.3339 0.5818 0.8426
H 4.8417 1.9460 3.3090
```

***

The computed energies, referenced to the most stable structure and given in eV/atom, are model P 0.207; model Q 0.000.

***

Model P:
Density functional theory data (PBE-GGA) for crystalline CuNi3H3 at its relaxed geometry.

Output
The size of the total moment comes out at 0.00 μB/cell.

The structure in extended XYZ format:
```
14
Lattice="4.7697 0.0000 0.0000 0.0000 4.7697 0.0000 0.0000 0.0000 4.7697" Properties=species:S:1:pos:R:3 pbc="T T T"
Cu 0.0000 0.0000 0.0000
Cu 2.3849 2.3849 2.3849
Ni 0.0000 1.1924 2.3849
Ni 0.0000 3.5773 2.3849
Ni 1.1924 2.3849 0.0000
Ni 2.3849 0.0000 1.1924
Ni 2.3849 0.0000 3.5773
Ni 3.5773 2.3849 0.0000
H 0.0000 2.3849 1.1924
H 0.0000 2.3849 3.5773
H 1.1924 0.0000 2.3849
H 2.3849 1.1924 0.0000
H 2.3849 3.5773 0.0000
H 3.5773 0.0000 2.3849
```

***

Model Q:
Density functional theory data (PBE-GGA) for crystalline CuNi3H3 at its relaxed geometry.

Output
The size of the total moment comes out at 0.00 μB/cell.

The structure in extended XYZ format:
```
14
Lattice="2.2308 1.2879 6.3625 -2.2308 1.2879 6.3625 0.0000 -2.5759 6.3625" Properties=species:S:1:pos:R:3 pbc="T T T"
Cu 0.0000 0.0000 3.1786
Cu 0.0000 0.0000 15.9088
Ni -1.4961 -0.0026 7.3998
Ni -0.7458 -1.2970 11.6877
Ni 0.7503 -1.2944 7.3998
Ni -0.7503 1.2944 11.6877
Ni 0.7458 1.2970 7.3998
Ni 1.4961 0.0026 11.6877
H -0.7224 -1.2552 8.2337
H -1.4482 -0.0020 10.8537
H -0.7259 1.2532 8.2337
H 0.7259 -1.2532 10.8537
H 1.4482 0.0020 8.2337
H 0.7224 1.2552 10.8537
```

***

The computed energies, referenced to the most stable structure and given in eV/atom, are model P 0.025; model Q 0.000.

***

Model P:
Density functional theory data (PBE-GGA) for crystalline Cu2Ni2H5 at its relaxed geometry.

Output
The size of the total moment comes out at 0.00 μB/cell.

The structure in extended XYZ format:
```
18
Lattice="4.3830 -2.7779 0.0000 4.3830 2.7779 0.0000 0.0000 0.0000 5.0426" Properties=species:S:1:pos:R:3 pbc="T T T"
Cu 1.9524 0.0000 0.0000
Cu 2.4307 0.0000 2.5213
Cu 6.3354 0.0000 2.5213
Cu 6.8137 0.0000 0.0000
Ni 4.3830 1.5486 3.3425
Ni 4.3830 1.2293 0.8213
Ni 4.3830 -1.2293 4.2213
Ni 4.3830 -1.5486 1.7000
H 0.0000 0.0000 0.0000
H 3.2958 1.6840 2.0299
H 3.2958 1.0939 4.5512
H 5.4702 1.6840 2.0299
H 5.4702 1.0939 4.5512
H 4.3830 0.0000 2.5213
H 3.2958 -1.0939 0.4914
H 3.2958 -1.6840 3.0127
H 5.4702 -1.0939 0.4914
H 5.4702 -1.6840 3.0127
```

***

Model Q:
Density functional theory data (PBE-GGA) for crystalline Cu2Ni2H5 at its relaxed geometry.

Output
The size of the total moment comes out at 0.00 μB/cell.

The structure in extended XYZ format:
```
9
Lattice="5.9301 -1.2954 0.0000 5.9301 1.2954 0.0000 -1.1613 0.0000 4.1584" Properties=species:S:1:pos:R:3 pbc="T T T"
Cu 1.3011 0.0000 1.4961
Cu 9.3977 0.0000 2.6624
Ni 4.8993 0.0000 0.8483
Ni 5.7996 0.0000 3.3102
H -0.5807 0.0000 2.0792
H 0.5734 0.0000 4.0442
H 3.3171 0.0000 1.4887
H 7.3817 0.0000 2.6698
H 10.1255 0.0000 0.1142
```

***

The computed energies, referenced to the most stable structure and given in eV/atom, are model P 0.086; model Q 0.000.

***

Model P:
Density functional theory data (PBE-GGA) for crystalline CuNiHPt2 at its relaxed geometry.

Output
The size of the total moment comes out at 0.99 μB/cell.

The structure in extended XYZ format:
```
5
Lattice="3.9696 0.0000 0.0000 0.0000 3.9696 0.0000 0.0000 0.0000 3.6539" Properties=species:S:1:pos:R:3 pbc="T T T"
Cu 0.0000 0.0000 0.0000
Ni 1.9848 1.9848 0.0000
H 1.9848 1.9848 1.8270
Pt 0.0000 1.9848 1.8270
Pt 1.9848 0.0000 1.8270
```

***

Model Q:
Density functional theory data (PBE-GGA) for crystalline CuNiHPt2 at its relaxed geometry.

Output
The size of the total moment comes out at 1.24 μB/cell.

The structure in extended XYZ format:
```
5
Lattice="3.9432 0.0000 0.0000 0.0000 3.9432 0.0000 0.0000 0.0000 3.7256" Properties=species:S:1:pos:R:3 pbc="T T T"
Cu 0.0000 0.0000 0.0000
Ni 1.9716 1.9716 0.0000
H 0.0000 0.0000 1.8628
Pt 0.0000 1.9716 1.8628
Pt 1.9716 0.0000 1.8628
```

***

The computed energies, referenced to the most stable structure and given in eV/atom, are model P 0.000; model Q 0.040.

***

Model P:
Density functional theory data (PBE-GGA) for crystalline Cu2NiHPt at its relaxed geometry.

Output
The size of the total moment comes out at 0.00 μB/cell.

The structure in extended XYZ format:
```
5
Lattice="3.8604 0.0000 0.0000 0.0000 3.8604 0.0000 0.0000 0.0000 3.5408" Properties=species:S:1:pos:R:3 pbc="T T T"
Cu 0.0000 1.9302 0.0000
Cu 1.9302 0.0000 0.0000
Ni 0.0000 0.0000 1.7704
H 0.0000 0.0000 0.0000
Pt 1.9302 1.9302 1.7704
```

***

Model Q:
Density functional theory data (PBE-GGA) for crystalline Cu2NiHPt at its relaxed geometry.

Output
The size of the total moment comes out at 0.00 μB/cell.

The structure in extended XYZ format:
```
5
Lattice="3.8076 0.0000 0.0000 0.0000 3.8076 0.0000 0.0000 0.0000 3.7120" Properties=species:S:1:pos:R:3 pbc="T T T"
Cu 0.0000 1.9038 0.0000
Cu 1.9038 0.0000 0.0000
Ni 0.0000 0.0000 1.8560
H 1.9038 1.9038 0.0000
Pt 1.9038 1.9038 1.8560
```

***

The computed energies, referenced to the most stable structure and given in eV/atom, are model P 0.000; model Q 0.054.

***

Model P:
Density functional theory data (PBE-GGA) for crystalline ScCuNi2H at its relaxed geometry.

Output
The size of the total moment comes out at 0.00 μB/cell.

The structure in extended XYZ format:
```
5
Lattice="3.7296 0.0000 0.0000 0.0000 3.7296 0.0000 0.0000 0.0000 4.0049" Properties=species:S:1:pos:R:3 pbc="T T T"
Sc 0.0000 0.0000 0.0000
Cu 1.8648 1.8648 0.0000
Ni 0.0000 1.8648 2.0024
Ni 1.8648 0.0000 2.0024
H 0.0000 0.0000 2.0024
```

***

Model Q:
Density functional theory data (PBE-GGA) for crystalline ScCuNi2H at its relaxed geometry.

Output
The size of the total moment comes out at 0.00 μB/cell.

The structure in extended XYZ format:
```
5
Lattice="3.8287 0.0000 0.0000 0.0000 3.8287 0.0000 0.0000 0.0000 3.8011" Properties=species:S:1:pos:R:3 pbc="T T T"
Sc 0.0000 0.0000 0.0000
Cu 1.9143 1.9143 0.0000
Ni 0.0000 1.9143 1.9006
Ni 1.9143 0.0000 1.9006
H 1.9143 1.9143 1.9006
```

***

The computed energies, referenced to the most stable structure and given in eV/atom, are model P 0.000; model Q 0.070.